# 1
Material: Pu2Ga3HgPt4
Method: DFT, GGA-PBE
State: relaxed

Cell lengths 4.0993, 4.0993, 11.7560 Å; angles 90.00, 90.00, 90.00 degrees
Positions (direct):
Pu  0.5000  0.0000  0.2497
Ga  0.5000  0.0000  0.8736
Ga  0.0000  0.5000  0.1264
Pt  0.0000  0.5000  0.3357
Ga  0.0000  0.0000  0.5000
Pt  0.5000  0.5000  0.0000
Hg  0.5000  0.5000  0.5000
Pt  0.5000  0.0000  0.6643
Pt  0.0000  0.0000  0.0000
Pu  0.0000  0.5000  0.7503

Results
Magnetic moment, μB per cell: 10.66
Symmetry: P-4m2 (115)
VASP energy, eV per formula unit: -68.61
Fermi-level density of states, states/eV/cell: 25.87



# 2
Material: CaAu3Se
Method: DFT, GGA-PBE
State: relaxed

Cell lengths 5.0805, 5.0805, 5.0805 Å; angles 90.00, 90.00, 90.00 degrees
Positions (direct):
Au  0.5000  0.0000  0.0000
Au  0.0000  0.0000  0.5000
Ca  0.5000  0.5000  0.5000
Se  0.0000  0.0000  0.0000
Au  0.0000  0.5000  0.0000

Results
Magnetic moment, μB per cell: 0.00
Offset from the most stable computed form, meV per atom: 0
Symmetry: Pm-3m (221)
Formation energy (no corrections), eV/atom: -0.034
VASP energy, eV per formula unit: -15.49
Fermi-level density of states, states/eV/cell: 2.35



# 3
Material: PaCrNi2
Method: DFT, GGA-PBE
State: relaxed

Cell lengths 2.7606, 2.7606, 9.5679 Å; angles 81.71, 81.71, 60.00 degrees
Positions (direct):
Ni  0.0776  0.0776  0.7672
Ni  0.9224  0.9224  0.2328
Cr  0.0000  0.0000  0.0000
Pa  0.5000  0.5000  0.5000

Results
Magnetic moment, μB per cell: 0.00
Offset from the most stable computed form, meV per atom: 834
Symmetry: R-3m (166)
VASP energy, eV per formula unit: -27.78
Fermi-level density of states, states/eV/cell: 6.88



# 4
Material: Tm2ScMn
Method: DFT, GGA-PBE
State: relaxed

Cell lengths 4.1312, 4.8188, 4.8188 Å; angles 90.00, 90.00, 90.00 degrees
Positions (direct):
Mn  0.5000  0.0000  0.0000
Sc  0.5000  0.5000  0.5000
Tm  0.0000  0.0000  0.5000
Tm  0.0000  0.5000  0.0000

Results
Magnetic moment, μB per cell: 2.76
Offset from the most stable computed form, meV per atom: 52
Symmetry: P4/mmm (123)
VASP energy, eV per formula unit: -23.80
Fermi-level density of states, states/eV/cell: 3.62



> Among the records above, which one has the lowest Fermi-level density of states?

CaAu3Se



> The highest Fermi-level density of states belongs to which entry?

Pu2Ga3HgPt4



> What is the magnetic moment in the third record?

0.00 μB per cell